4
Lattice="-2.2446 2.2446 4.3692 2.2446 -2.2446 4.3692 2.2446 2.2446 -4.3692" Properties=species:S:1:pos:R:3 comment="LaIrCl2, optimized geometry, DFT PBE" sg="No. 139" raw_formation_energy_ev_per_atom=-0.54 n_ef_per_ev_cell=3.57 e_tot_ev_per_fu=-19.7 polymorph_energy_kj_per_mol_fu=171 pbc="T T T"
La 0.0000 0.0000 0.0000
Ir 0.0000 0.0000 4.3692
Cl 2.2446 0.0000 2.1846
Cl 0.0000 2.2446 2.1846

***

5
Lattice="4.9943 0.0000 0.0000 0.0000 4.9943 0.0000 0.0000 0.0000 4.9943" Properties=species:S:1:pos:R:3 comment="NaGeCl3, optimized geometry, DFT PBE" sg="No. 221" raw_formation_energy_ev_per_atom=-0.52 n_ef_per_ev_cell=0.00 e_tot_ev_per_fu=-14.1 pbc="T T T"
Na 0.0000 0.0000 0.0000
Ge 2.4971 2.4971 2.4971
Cl 0.0000 0.0000 2.4971
Cl 0.0000 2.4971 0.0000
Cl 2.4971 0.0000 0.0000

***

15
Lattice="4.2961 2.4803 7.5593 -4.2961 2.4803 7.5593 0.0000 -4.9607 7.5593" Properties=species:S:1:pos:R:3 comment="Ba3TbPm3Se8, optimized geometry, DFT PBE" sg="No. 166" raw_formation_energy_ev_per_atom=-1.94 n_ef_per_ev_cell=3.64 e_tot_ev_per_fu=-81.7 pbc="T T T"
Ba -2.1480 -1.2402 7.5593
Ba -2.1480 1.2402 15.1186
Ba 0.0000 2.4803 7.5593
Tb 0.0000 0.0000 11.3390
Pm -4.2960 0.0000 11.3389
Pm -2.1480 1.2402 3.7796
Pm 2.1480 1.2402 3.7797
Se 0.0000 0.0000 5.4504
Se -2.1156 -1.2214 12.9620
Se 0.0000 -2.4429 9.7159
Se -2.1156 1.2214 9.7159
Se 2.1156 -1.2214 12.9620
Se 0.0000 2.4429 12.9620
Se 2.1156 1.2214 9.7159
Se 0.0000 0.0000 17.2275

***

26
Lattice="14.9464 0.0000 0.0000 0.0000 16.2337 0.0000 0.0000 0.0000 5.2932" Properties=species:S:1:pos:R:3 comment="Cs5Te6As2, optimized geometry, DFT PBE" sg="No. 55" raw_formation_energy_ev_per_atom=-0.67 n_ef_per_ev_cell=3.45 e_tot_ev_per_fu=-41.1 pbc="T T T"
Cs 0.0000 0.0000 0.0000
Cs 0.8824 4.2482 0.0000
Cs 2.8307 8.0699 0.0000
Cs 4.6425 16.1867 0.0000
Cs 6.5908 12.3650 0.0000
Cs 7.4732 8.1168 0.0000
Cs 8.3556 3.8686 0.0000
Cs 10.3039 0.0470 0.0000
Cs 12.1157 8.1638 0.0000
Cs 14.0639 11.9855 0.0000
Te 0.7772 9.7282 2.6466
Te 2.4262 1.7433 2.6466
Te 2.8358 12.5211 0.0000
Te 4.6374 4.4043 0.0000
Te 5.0470 9.8602 2.6466
Te 6.6960 1.6114 2.6466
Te 8.2504 14.6223 2.6466
Te 9.8994 6.3735 2.6466
Te 10.3089 11.8294 0.0000
Te 12.1106 3.7126 0.0000
Te 12.5202 14.4904 2.6466
Te 14.1691 6.5055 2.6466
As 2.8483 11.3858 2.6466
As 4.6249 3.2690 2.6466
As 10.3215 12.9647 2.6466
As 12.0980 4.8478 2.6466

***

4
Lattice="3.4761 0.0000 0.0000 0.0000 4.2489 0.0000 -1.7198 0.0000 4.9532" Properties=species:S:1:pos:R:3 comment="DyZrNi2, optimized geometry, DFT PBE" e_form_mev_per_atom=-415 sg="No. 6" n_ef_per_ev_cell=2.56 e_tot_ev_per_fu=-26.4 polymorph_energy_kj_per_mol_fu=11 pbc="T T T"
Dy 0.0000 0.0000 0.0000
Zr 1.7471 2.1244 2.1981
Ni 0.0140 0.0000 2.7309
Ni 0.0153 2.1244 4.2691

***

4
Lattice="-1.6320 2.2237 8.0110 1.6320 -2.2237 8.0110 1.6320 2.2237 -8.0110" Properties=species:S:1:pos:R:3 comment="KTl2Rh, optimized geometry, DFT PBE" e_form_mev_per_atom=26 sg="No. 44" n_ef_per_ev_cell=2.62 e_tot_ev_per_fu=-13.1 pbc="T T T"
K 0.0000 0.0000 0.0000
Tl 0.0000 0.0000 5.4692
Tl 0.0000 2.2237 2.8879
Rh 1.6320 0.0000 3.0845

***

5
Lattice="4.4188 0.0000 0.0000 0.0000 4.4188 0.0000 0.0000 0.0000 4.3843" Properties=species:S:1:pos:R:3 comment="YAgO2F, optimized geometry, DFT PBE" sg="No. 123" raw_formation_energy_ev_per_atom=-1.83 n_ef_per_ev_cell=1.71 e_tot_ev_per_fu=-30.3 pbc="T T T"
Y 0.0000 0.0000 0.0000
Ag 2.2094 2.2094 2.1922
O 0.0000 2.2094 0.0000
O 2.2094 0.0000 0.0000
F 0.0000 0.0000 2.1922

***

6
Lattice="3.1067 0.0000 0.0000 0.0000 3.1067 0.0000 0.0000 0.0000 9.3806" Properties=species:S:1:pos:R:3 comment="Ti3Re2Ir, optimized geometry, DFT PBE" e_form_mev_per_atom=-622 sg="No. 123" n_ef_per_ev_cell=3.20 e_tot_ev_per_fu=-61.2 pbc="T T T"
Ti 0.0000 0.0000 0.0000
Ti 0.0000 0.0000 3.0798
Ti 0.0000 0.0000 6.3008
Re 1.5534 1.5534 1.5775
Re 1.5534 1.5534 7.8031
Ir 1.5534 1.5534 4.6903

***

10
Lattice="1.8935 -5.0995 0.0000 1.8935 5.0995 0.0000 0.0000 0.0000 5.9101" Properties=species:S:1:pos:R:3 comment="CeFePH2, optimized geometry, DFT PBE" sg="No. 63" n_ef_per_ev_cell=9.21 e_tot_ev_per_fu=-29.5 pbc="T T T"
Ce 1.8935 2.9512 4.4326
Ce 1.8935 -2.9512 1.4775
Fe 1.8935 0.0000 0.0000
Fe 1.8935 0.0000 2.9551
P 1.8935 4.4113 1.4775
P 1.8935 -4.4113 4.4326
H 1.8935 1.6106 0.3703
H 1.8935 1.6106 2.5848
H 1.8935 -1.6106 3.3254
H 1.8935 -1.6106 5.5398

***

6
Lattice="-1.6727 2.6689 5.2289 1.6727 -2.6689 5.2289 1.6727 2.6689 -5.2289" Properties=species:S:1:pos:R:3 comment="PmTcN, optimized geometry, DFT PBE" sg="No. 71" raw_formation_energy_ev_per_atom=0.15 n_ef_per_ev_cell=4.11 e_tot_ev_per_fu=-23.0 polymorph_energy_kj_per_mol_fu=130 pbc="T T T"
Pm 0.0000 0.0000 2.0627
Pm 0.0000 0.0000 8.3951
Tc 1.6727 1.4963 0.0000
Tc 0.0000 1.1726 5.2289
N 1.6727 0.0000 3.9514
N 0.0000 2.6689 1.2775

***

5
Lattice="4.6802 0.0000 0.0000 0.0000 4.6802 0.0000 0.0000 0.0000 4.6802" Properties=species:S:1:pos:R:3 comment="BeTc3Pd, optimized geometry, DFT PBE" e_form_mev_per_atom=2425 sg="No. 221" n_ef_per_ev_cell=5.74 e_tot_ev_per_fu=-27.9 polymorph_energy_kj_per_mol_fu=883 pbc="T T T"
Be 0.0000 0.0000 0.0000
Tc 0.0000 2.3401 2.3401
Tc 2.3401 0.0000 2.3401
Tc 2.3401 2.3401 0.0000
Pd 2.3401 2.3401 2.3401

***

4
Lattice="3.6849 0.0000 0.0000 0.0000 3.6849 0.0000 0.0000 0.0000 3.7150" Properties=species:S:1:pos:R:3 comment="AlReNi2, optimized geometry, DFT PBE" e_form_mev_per_atom=-93 sg="No. 123" n_ef_per_ev_cell=4.80 e_tot_ev_per_fu=-28.1 pbc="T T T"
Al 0.0000 0.0000 0.0000
Re 1.8425 1.8425 0.0000
Ni 0.0000 1.8425 1.8575
Ni 1.8425 0.0000 1.8575

***

12
Lattice="3.5766 -6.1943 0.0000 3.5766 6.1943 0.0000 -2.3830 0.0000 6.7397" Properties=species:S:1:pos:R:3 comment="La3Ho2ErP6, optimized geometry, DFT PBE" e_form_mev_per_atom=-1577 sg="No. 12" n_ef_per_ev_cell=1.17 e_tot_ev_per_fu=-79.9 pbc="T T T"
La 0.0000 0.0000 0.0000
La 3.5766 2.0663 0.0000
La 3.5766 -2.0663 0.0000
Ho 2.3850 4.1303 3.3699
Ho 2.3850 -4.1303 3.3699
Er 2.3850 0.0000 3.3699
P 1.1949 2.0610 1.7896
P 0.0055 0.0000 4.9515
P 1.1949 -2.0610 1.7896
P 3.5752 2.0610 4.9502
P 4.7646 0.0000 1.7882
P 3.5752 -2.0610 4.9502

***

24
Lattice="11.8296 0.0000 0.0000 0.0000 4.3655 0.0000 0.0000 0.0000 11.5765" Properties=species:S:1:pos:R:3 comment="Sm3Ge2Pd, optimized geometry, DFT PBE" e_form_mev_per_atom=-853 sg="No. 62" n_ef_per_ev_cell=17.40 e_tot_ev_per_fu=-33.7 pbc="T T T"
Sm 0.6356 1.0914 1.4853
Sm 1.4531 3.2741 6.4825
Sm 2.5614 1.0914 9.3460
Sm 3.3534 3.2741 3.5577
Sm 4.4617 1.0914 0.6942
Sm 5.2792 3.2741 7.2735
Sm 6.5504 1.0914 4.3030
Sm 7.3679 3.2741 10.8823
Sm 8.4762 1.0914 8.0188
Sm 9.2682 3.2741 2.2306
Sm 10.3765 1.0914 5.0941
Sm 11.1940 3.2741 10.0912
Ge 0.1465 3.2741 3.6071
Ge 2.2056 3.2741 0.0291
Ge 3.7092 1.0914 5.8173
Ge 5.7683 1.0914 9.3953
Ge 6.0613 3.2741 2.1812
Ge 8.1204 3.2741 5.7592
Ge 9.6240 1.0914 11.5474
Ge 11.6831 1.0914 7.9695
Pd 1.5128 1.0914 4.3177
Pd 4.4020 3.2741 10.1059
Pd 7.4276 1.0914 1.4706
Pd 10.3168 3.2741 7.2588

***

4
Lattice="3.4710 -1.7765 0.0000 3.4710 1.7765 0.0000 -1.1224 0.0000 6.4023" Properties=species:S:1:pos:R:3 comment="YC, optimized geometry, DFT PBE" e_form_mev_per_atom=-83 sg="No. 8" n_ef_per_ev_cell=2.04 e_tot_ev_per_fu=-15.9 polymorph_energy_kj_per_mol_fu=25 pbc="T T T"
Y 0.0000 0.0000 0.0000
Y 0.8536 0.0000 3.2461
C 4.6845 0.0000 1.2846
C 5.7234 0.0000 2.1317

***

11
Lattice="3.7528 -6.4418 0.0000 3.7528 6.4418 0.0000 -2.5471 0.0000 8.1772" Properties=species:S:1:pos:R:3 comment="Rb2Pr2USe6, optimized geometry, DFT PBE" sg="No. 12" raw_formation_energy_ev_per_atom=-1.57 n_ef_per_ev_cell=6.84 e_tot_ev_per_fu=-61.0 pbc="T T T"
Rb 3.7528 4.2484 0.0000
Rb 3.7528 -4.2484 0.0000
Pr 2.4792 2.1434 4.0886
Pr 2.4792 -2.1434 4.0886
U -1.2736 0.0000 4.0886
Se -0.0755 2.0612 5.6797
Se 1.0978 0.0000 2.5055
Se -0.0755 -2.0612 5.6797
Se 5.0339 2.0612 2.4975
Se 3.8607 0.0000 5.6717
Se 5.0339 -2.0612 2.4975